No. 1
{
  "formula": "SrPdAuCl2",
  "functional": "PBE",
  "state": "optimized geometry",
  "lattice_angstrom": [[4.900, 0.000, 0.000], [0.000, 4.900, 0.000], [0.000, 0.000, 6.466]],
  "species": ["Sr", "Pd", "Au", "Cl", "Cl"],
  "frac_coords": [[0.000, 0.000, 0.000], [0.500, 0.500, 0.000], [0.000, 0.000, 0.500], [0.000, 0.500, 0.500], [0.500, 0.000, 0.500]],
  "crystal_system": "tetragonal"
}

No. 2
{
  "formula": "Te2PdAuCl",
  "functional": "PBE",
  "state": "optimized geometry",
  "lattice_angstrom": [[5.341, 0.000, 0.000], [0.000, 5.341, 0.000], [0.000, 0.000, 5.309]],
  "species": ["Te", "Te", "Pd", "Au", "Cl"],
  "frac_coords": [[0.000, 0.500, 0.000], [0.500, 0.000, 0.000], [0.000, 0.000, 0.500], [0.000, 0.000, 0.000], [0.500, 0.500, 0.500]],
  "crystal_system": "tetragonal"
}

No. 3
{
  "formula": "TiPdAu2Cl",
  "functional": "PBE",
  "state": "optimized geometry",
  "lattice_angstrom": [[5.075, 0.000, 0.000], [0.000, 5.075, 0.000], [0.000, 0.000, 4.494]],
  "species": ["Ti", "Pd", "Au", "Au", "Cl"],
  "frac_coords": [[0.000, 0.000, 0.000], [0.500, 0.500, 0.500], [0.000, 0.500, 0.000], [0.500, 0.000, 0.000], [0.000, 0.000, 0.500]],
  "crystal_system": "tetragonal"
}

No. 4
{
  "formula": "Tl2PdAuCl6",
  "functional": "PBE",
  "state": "optimized geometry",
  "lattice_angstrom": [[7.027, 0.000, 0.000], [0.000, 7.043, 0.000], [-6.936, 0.000, 10.646]],
  "species": ["Tl", "Tl", "Tl", "Tl", "Pd", "Pd", "Au", "Au", "Cl", "Cl", "Cl", "Cl", "Cl", "Cl", "Cl", "Cl", "Cl", "Cl", "Cl", "Cl"],
  "frac_coords": [[0.246, 0.022, 0.250], [0.246, 0.478, 0.750], [0.754, 0.522, 0.250], [0.754, 0.978, 0.750], [0.500, 0.000, 0.000], [0.500, 0.500, 0.500], [0.000, 0.000, 0.500], [0.000, 0.500, 0.000], [0.210, 0.224, 0.988], [0.210, 0.276, 0.488], [0.265, 0.721, 0.990], [0.265, 0.779, 0.490], [0.299, 0.000, 0.778], [0.299, 0.500, 0.278], [0.701, 0.000, 0.222], [0.701, 0.500, 0.722], [0.735, 0.221, 0.510], [0.735, 0.279, 0.010], [0.790, 0.724, 0.512], [0.790, 0.776, 0.012]],
  "crystal_system": "monoclinic"
}

No. 5
{
  "formula": "TlPdAuCl6",
  "functional": "PBE",
  "state": "optimized geometry",
  "lattice_angstrom": [[5.644, 0.000, 0.000], [0.978, 5.566, 0.000], [0.701, 0.458, 9.532]],
  "species": ["Tl", "Pd", "Au", "Cl", "Cl", "Cl", "Cl", "Cl", "Cl"],
  "frac_coords": [[0.000, 0.000, 0.000], [0.396, 0.394, 0.696], [0.605, 0.608, 0.373], [0.064, 0.511, 0.843], [0.283, 0.725, 0.538], [0.475, 0.930, 0.222], [0.517, 0.063, 0.840], [0.728, 0.286, 0.534], [0.928, 0.482, 0.218]],
  "crystal_system": "triclinic"
}

No. 6
{
  "formula": "Pm2AuCl",
  "functional": "PBE",
  "state": "optimized geometry",
  "lattice_angstrom": [[2.046, 1.181, 7.756], [-2.046, 1.181, 7.756], [0.000, -2.362, 7.756]],
  "species": ["Pm", "Pm", "Au", "Cl"],
  "frac_coords": [[0.000, 0.000, 0.000], [0.183, 0.183, 0.183], [0.592, 0.592, 0.592], [0.422, 0.422, 0.422]],
  "crystal_system": "trigonal",
  "de_polymorph_mev_per_atom": 52
}

No. 7
{
  "formula": "PmAu2Cl8",
  "functional": "PBE",
  "state": "optimized geometry",
  "lattice_angstrom": [[6.279, -3.880, 0.000], [6.279, 3.880, 0.000], [-1.507, 0.000, 6.800]],
  "species": ["Pm", "Au", "Au", "Cl", "Cl", "Cl", "Cl", "Cl", "Cl", "Cl", "Cl"],
  "frac_coords": [[0.000, 0.000, 0.000], [0.235, 0.235, 0.738], [0.765, 0.765, 0.262], [0.112, 0.691, 0.238], [0.179, 0.179, 0.279], [0.309, 0.888, 0.762], [0.416, 0.416, 0.736], [0.584, 0.584, 0.264], [0.691, 0.112, 0.238], [0.821, 0.821, 0.721], [0.888, 0.309, 0.762]],
  "crystal_system": "monoclinic"
}

No. 8
{
  "formula": "PmAuCl5",
  "functional": "PBE",
  "state": "optimized geometry",
  "lattice_angstrom": [[4.087, -6.418, 0.000], [4.087, 6.418, 0.000], [-1.710, 0.000, 8.303]],
  "species": ["Pm", "Pm", "Au", "Au", "Cl", "Cl", "Cl", "Cl", "Cl", "Cl", "Cl", "Cl", "Cl", "Cl"],
  "frac_coords": [[0.039, 0.961, 0.750], [0.961, 0.039, 0.250], [0.500, 0.500, 0.000], [0.500, 0.500, 0.500], [0.046, 0.806, 0.034], [0.180, 0.436, 0.356], [0.194, 0.954, 0.466], [0.403, 0.597, 0.750], [0.436, 0.180, 0.856], [0.564, 0.820, 0.144], [0.597, 0.403, 0.250], [0.806, 0.046, 0.534], [0.820, 0.564, 0.644], [0.954, 0.194, 0.966]],
  "crystal_system": "monoclinic"
}

No. 9
{
  "formula": "Pm7AuCl12",
  "functional": "PBE",
  "state": "optimized geometry",
  "lattice_angstrom": [[7.565, 4.368, 3.069], [-7.565, 4.368, 3.069], [0.000, -8.736, 3.069]],
  "species": ["Pm", "Pm", "Pm", "Pm", "Pm", "Pm", "Pm", "Au", "Cl", "Cl", "Cl", "Cl", "Cl", "Cl", "Cl", "Cl", "Cl", "Cl", "Cl", "Cl"],
  "frac_coords": [[0.000, 0.000, 0.000], [0.150, 0.452, 0.361], [0.361, 0.150, 0.452], [0.452, 0.361, 0.150], [0.548, 0.639, 0.850], [0.639, 0.850, 0.548], [0.850, 0.548, 0.639], [0.500, 0.500, 0.500], [0.018, 0.112, 0.336], [0.112, 0.336, 0.018], [0.197, 0.581, 0.710], [0.290, 0.803, 0.419], [0.336, 0.018, 0.112], [0.419, 0.290, 0.803], [0.581, 0.710, 0.197], [0.664, 0.982, 0.888], [0.710, 0.197, 0.581], [0.803, 0.419, 0.290], [0.888, 0.664, 0.982], [0.982, 0.888, 0.664]],
  "crystal_system": "trigonal"
}

No. 10
{
  "formula": "Pm4Au2Cl",
  "functional": "PBE",
  "state": "optimized geometry",
  "lattice_angstrom": [[-2.640, 2.640, 7.356], [2.640, -2.640, 7.356], [2.640, 2.640, -7.356]],
  "species": ["Pm", "Pm", "Pm", "Pm", "Au", "Au", "Cl"],
  "frac_coords": [[0.000, 0.500, 0.500], [0.196, 0.196, 0.000], [0.500, 0.000, 0.500], [0.804, 0.804, 0.000], [0.388, 0.388, 0.000], [0.612, 0.612, 0.000], [0.000, 0.000, 0.000]],
  "crystal_system": "tetragonal"
}

No. 11
{
  "formula": "PmAuCl6",
  "functional": "PBE",
  "state": "optimized geometry",
  "lattice_angstrom": [[5.810, 0.000, 0.000], [0.175, 7.048, 0.000], [2.310, 3.046, 6.166]],
  "species": ["Pm", "Au", "Cl", "Cl", "Cl", "Cl", "Cl", "Cl"],
  "frac_coords": [[0.000, 0.000, 0.000], [0.500, 0.500, 0.000], [0.009, 0.208, 0.603], [0.296, 0.393, 0.820], [0.424, 0.846, 0.814], [0.576, 0.154, 0.186], [0.704, 0.607, 0.180], [0.991, 0.792, 0.397]],
  "crystal_system": "triclinic"
}

No. 12
{
  "formula": "Pm2AuCl",
  "functional": "PBE",
  "state": "optimized geometry",
  "lattice_angstrom": [[3.487, 0.000, 0.000], [0.000, 3.487, 0.000], [0.000, 0.000, 8.199]],
  "species": ["Pm", "Pm", "Au", "Cl"],
  "frac_coords": [[0.000, 0.000, 0.233], [0.000, 0.000, 0.767], [0.500, 0.500, 0.000], [0.500, 0.500, 0.500]],
  "crystal_system": "tetragonal",
  "de_polymorph_mev_per_atom": 117
}

| no. | ΔE_f (raw) (eV/atom) | DFT total energy (eV per atom) |
| --- | --- | --- |
| 1 | -0.095 | -2.86 |
| 2 | 0.629 | -2.69 |
| 3 | 0.346 | -3.95 |
| 4 | -0.622 | -3.05 |
| 5 | -0.516 | -2.95 |
| 6 | -1.025 | -4.68 |
| 7 | -0.747 | -3.12 |
| 8 | -1.344 | -3.81 |
| 9 | -1.884 | -4.82 |
| 10 | -0.688 | -4.60 |
| 11 | -1.155 | -3.54 |
| 12 | -0.961 | -4.62 |